Record 1
The following is a DFT calculation (PBE) of a relaxed structure of Al2Pt2Au.

Unit cell a=7.4411 b=7.4411 c=2.8441 alpha=90.00 beta=90.00 gamma=90.00
Atoms (fractional coordinates):
Pt: 0.8587 0.6413 0.0000
Pt: 0.1413 0.3587 0.0000
Pt: 0.3587 0.8587 0.0000
Pt: 0.6413 0.1413 0.0000
Al: 0.6559 0.8441 0.5000
Al: 0.1559 0.6559 0.5000
Al: 0.3441 0.1559 0.5000
Al: 0.8441 0.3441 0.5000
Au: 0.0000 0.0000 0.0000
Au: 0.5000 0.5000 0.0000

Properties
SG   P4/mbm (127)
Formation enthalpy at 0 K   -0.807 eV per atom
Relative energy among the computed polymorphs   0.0 meV/atom

Record 2
The following is a DFT calculation (PBE) of a relaxed structure of Na3Zn3Ag2.

Unit cell a=2.9345 b=7.9641 c=7.9641 alpha=120.00 beta=90.00 gamma=90.00
Atoms (fractional coordinates):
Zn: 0.5000 0.5892 0.0000
Zn: 0.5000 0.0000 0.5892
Zn: 0.5000 0.4108 0.4108
Na: 0.0000 0.0000 0.2422
Na: 0.0000 0.7578 0.7578
Na: 0.0000 0.2422 0.0000
Ag: 0.0000 0.6667 0.3333
Ag: 0.0000 0.3333 0.6667

Properties
SG   P-62m (189)
Formation enthalpy at 0 K   0.014 eV per atom

Record 3
The following is a DFT calculation (PBE) of a relaxed structure of PuPaH2.

Unit cell a=3.4317 b=3.4317 c=5.9777 alpha=73.32 beta=73.32 gamma=60.00
Last column: magnetic moment on the atom in μB.
Atoms (fractional coordinates):
H: 0.2532 0.2532 0.2404  -0.01
H: 0.7468 0.7468 0.7596  -0.01
Pa: 0.0000 0.0000 0.0000  0.11
Pu: 0.5000 0.5000 0.5000  5.23

Properties
SG   R-3m (166)
Relative energy among the computed polymorphs   0.0 meV/atom

Listing E for the structures above in their given order: -5.376; -1.671; -7.812 eV per atom.